An optimized crystal structure of ZrNiO3, computed with PBE with a Hubbard U.

Output
Density (g/cm3): 6.3
VASP energy (eV per cell): -33.261

a = 3.735 Å, b = 3.735 Å, c = 3.735 Å
α = 90.00°, β = 90.00°, γ = 90.00°
Each line ends with the local moment (μB).
Sites, in units of the cell vectors:
1 O 0.000 0.500 0.500  0.03
2 O 0.500 0.000 0.500  0.03
3 O 0.500 0.500 0.000  0.06
4 Zr 0.000 0.000 0.000  -0.04
5 Ni 0.500 0.500 0.500  1.59